This record from the Alexandria database describes a relaxed Sb2IrRu crystal. The functional is PBE-GGA.

```
Sb2IrRu
1.0
-1.7070 2.8884 -0.3277
-2.3213 -1.5828 -1.8596
-3.2976 -1.3513 5.2663
Ru Sb Ir
1 2 1
Direct
0.5000 0.5000 0.7500 Ru
0.0000 0.0000 0.5003 Sb
0.0000 0.0000 0.9997 Sb
0.5000 0.5000 0.2500 Ir
```

E ... -25.504 eV for the cell shown

---

This record from the Alexandria database describes a relaxed AcPaRhS4 crystal. The functional is PBE-GGA.

```
AcPaRhS4
1.0
6.5297 0.0000 0.0935
0.0000 5.8849 0.0000
-2.4436 0.0000 7.8451
S Ac Pa Rh
8 2 2 2
Direct
0.9645 0.4830 0.2652 S
0.4473 0.7500 0.6102 S
0.0355 0.9830 0.7348 S
0.5527 0.2500 0.3898 S
0.5620 0.2500 0.8638 S
0.0355 0.5170 0.7348 S
0.9645 0.0170 0.2652 S
0.4380 0.7500 0.1362 S
0.7474 0.7500 0.9411 Ac
0.2526 0.2500 0.0589 Ac
0.2494 0.2500 0.5554 Pa
0.7506 0.7500 0.4446 Pa
0.2322 0.7500 0.3395 Rh
0.7678 0.2500 0.6605 Rh
```

E ... -95.362 eV for the cell shown

---

This record from the Alexandria database describes a relaxed Pm2Si4PdAu3 crystal. The functional is PBE-GGA.

```
Pm2Si4PdAu3
1.0
4.2775 0.0000 0.0000
0.0000 4.2775 0.0000
0.0000 0.0000 10.3949
Au Si Pd Pm
3 4 1 2
Direct
0.5000 0.0000 0.8674 Au
0.0000 0.5000 0.1326 Au
0.0000 0.0000 0.5000 Au
0.0000 0.5000 0.3701 Si
0.5000 0.5000 0.0000 Si
0.5000 0.0000 0.6299 Si
0.0000 0.0000 0.0000 Si
0.5000 0.5000 0.5000 Pd
0.5000 0.0000 0.2556 Pm
0.0000 0.5000 0.7444 Pm
```

E ... -52.647 eV for the cell shown

---

This record from the Alexandria database describes a relaxed Bi2SbCl crystal. The functional is PBE-GGA.

```
Bi2SbCl
1.0
-6.2346 4.4542 0.7559
-3.0033 -5.5024 0.7333
-1.5736 -1.9911 5.7648
Bi Cl Sb
4 2 2
Direct
0.5552 0.4983 0.6355 Bi
0.0569 0.2675 0.4056 Bi
0.9739 0.8531 0.2821 Bi
0.4761 0.6242 0.0502 Bi
0.5215 0.0660 0.3449 Cl
0.0263 0.5583 0.8346 Cl
0.7660 0.0814 0.8615 Sb
0.2656 0.0408 0.8252 Sb
```

E ... -28.802 eV for the cell shown

---

This record from the Alexandria database describes a relaxed Y2Ho4Mg5 crystal. The functional is PBE-GGA.

```
Y2Ho4Mg5
1.0
6.1940 0.0000 0.0000
3.0970 5.0530 0.0000
3.0970 0.0000 11.0462
Ho Y Mg
4 2 5
Direct
0.7935 0.6648 0.7483 Ho
0.5417 0.6648 0.2517 Ho
0.4583 0.3352 0.7483 Ho
0.2065 0.3352 0.2517 Ho
0.8879 0.0000 0.2242 Y
0.1121 0.0000 0.7758 Y
0.5000 0.0000 0.0000 Mg
0.5000 0.5000 0.0000 Mg
0.2500 0.5000 0.5000 Mg
0.0000 0.5000 0.0000 Mg
0.7500 0.5000 0.5000 Mg
```

Calculated formation energy ... 0.24 eV per atom
E ... -36.581 eV for the cell shown

---

This record from the Alexandria database describes a relaxed KGaPb crystal. The functional is PBE-GGA.

```
KGaPb
1.0
-2.6016 -2.6972 -3.4154
5.0616 0.1823 -0.2359
0.4580 -6.5122 4.7939
K Pb Ga
2 2 2
Direct
0.0000 0.0000 0.7416 K
0.0000 0.0000 0.2416 K
0.3333 0.6667 0.4539 Pb
0.6667 0.3333 0.9539 Pb
0.3333 0.6667 0.0545 Ga
0.6667 0.3333 0.5545 Ga
```

Calculated formation energy ... -0.07 eV per atom
E ... -16.058 eV for the cell shown

---

This record from the Alexandria database describes a relaxed TaTi2SiH crystal. The functional is PBE-GGA.

```
TaTi2SiH
1.0
-0.6603 -0.6352 4.0560
-3.6861 -1.7170 -0.8690
1.6480 -3.4039 -0.2648
Si Ta H Ti
1 1 1 2
Direct
0.5000 0.5000 0.5000 Si
0.0000 0.0000 0.5000 Ta
0.0000 0.0000 0.0000 H
0.5000 0.0000 0.0000 Ti
0.0000 0.5000 0.0000 Ti
```

E ... -38.378 eV for the cell shown

---

This record from the Alexandria database describes a relaxed SrCaPb crystal. The functional is PBE-GGA.

```
SrCaPb
1.0
-3.3325 -3.2737 2.3812
6.5357 -4.8228 2.5165
0.7099 5.2375 8.1940
Ca Pb Sr
4 4 4
Direct
0.7500 0.3497 0.4301 Ca
0.2500 0.1503 0.9301 Ca
0.7500 0.8497 0.0699 Ca
0.2500 0.6503 0.5699 Ca
0.7500 0.2371 0.1094 Pb
0.7500 0.7371 0.3906 Pb
0.2500 0.7629 0.8906 Pb
0.2500 0.2629 0.6094 Pb
0.2500 0.5210 0.1831 Sr
0.2500 0.0210 0.3169 Sr
0.7500 0.9790 0.6831 Sr
0.7500 0.4790 0.8169 Sr
```

Calculated formation energy ... -0.59 eV per atom
E ... -36.655 eV for the cell shown

---

This record from the Alexandria database describes a relaxed NaCd7Au5 crystal. The functional is PBE-GGA.

```
NaCd7Au5
1.0
-4.2712 -3.6168 -0.9277
0.6537 -6.2814 4.1327
-5.8173 1.2281 4.6489
Au Cd Na
5 7 1
Direct
0.7209 0.7791 0.7791 Au
0.5021 0.0005 0.4950 Au
0.5021 0.4950 0.0005 Au
0.0024 0.4950 0.0005 Au
0.0024 0.0005 0.4950 Au
0.5047 0.7972 0.1935 Cd
0.9964 0.6591 0.3482 Cd
0.9964 0.3482 0.6591 Cd
0.3378 0.6622 0.6622 Cd
0.2775 0.2225 0.2225 Cd
0.6484 0.3516 0.3516 Cd
0.5047 0.1935 0.7972 Cd
0.0042 0.9958 0.9958 Na
```

Calculated formation energy ... -0.18 eV per atom
E ... -26.455 eV for the cell shown

---

This record from the Alexandria database describes a relaxed Rb2Ag2Pb crystal. The functional is PBE-GGA.

```
Rb2Ag2Pb
1.0
-1.7058 -0.3265 7.5898
7.5922 -0.3436 1.6915
0.1948 5.7336 0.2904
Rb Ag Pb
4 4 2
Direct
0.6781 0.8219 0.5000 Rb
0.1781 0.6781 0.5000 Rb
0.3219 0.1781 0.5000 Rb
0.8219 0.3219 0.5000 Rb
0.6301 0.1301 0.0000 Ag
0.1301 0.3699 0.0000 Ag
0.3699 0.8699 0.0000 Ag
0.8699 0.6301 0.0000 Ag
0.5000 0.5000 0.0000 Pb
0.0000 0.0000 0.0000 Pb
```

Calculated formation energy ... 0.06 eV per atom
E ... -22.055 eV for the cell shown

---

This record from the Alexandria database describes a relaxed HgSIN2 crystal. The functional is PBE-GGA.

```
HgSIN2
1.0
-0.7629 1.6100 3.5417
1.5928 -3.1636 1.7812
5.4930 2.7324 -0.0589
Hg S N I
1 1 2 1
Direct
0.5000 0.5000 0.5000 Hg
0.0000 0.0000 0.5000 S
0.0000 0.5000 0.0000 N
0.5000 0.0000 0.0000 N
0.0000 0.0000 0.0000 I
```

E ... -14.121 eV for the cell shown

---

This record from the Alexandria database describes a relaxed SrInSb2 crystal. The functional is PBE-GGA.

```
SrInSb2
1.0
4.8397 0.0000 0.0000
0.0000 4.8397 0.0000
0.0000 0.0000 10.8787
Sb In Sr
4 2 2
Direct
0.5000 0.0000 0.1696 Sb
0.5000 0.5000 0.5000 Sb
0.0000 0.5000 0.8304 Sb
0.0000 0.0000 0.5000 Sb
0.0000 0.0000 0.0000 In
0.5000 0.5000 0.0000 In
0.5000 0.0000 0.7195 Sr
0.0000 0.5000 0.2805 Sr
```

E ... -28.667 eV for the cell shown

---

This record from the Alexandria database describes a relaxed CsAc2HgS4 crystal. The functional is PBE-GGA.

```
CsAc2HgS4
1.0
-2.6333 2.1530 -3.0840
-4.4721 -5.1761 3.6228
-3.6712 10.4934 10.4603
S Ac Hg Cs
8 4 2 2
Direct
0.5627 0.1254 0.2500 S
0.0000 0.0000 0.5000 S
0.2575 0.5150 0.4004 S
0.7425 0.4850 0.5996 S
0.7425 0.4850 0.9004 S
0.0000 0.0000 0.0000 S
0.2575 0.5150 0.0996 S
0.4373 0.8746 0.7500 S
0.3700 0.7400 0.9389 Ac
0.3700 0.7400 0.5611 Ac
0.6300 0.2600 0.4389 Ac
0.6300 0.2600 0.0611 Ac
0.8504 0.7009 0.7500 Hg
0.1496 0.2991 0.2500 Hg
0.8806 0.7611 0.2500 Cs
0.1194 0.2389 0.7500 Cs
```

E ... -75.754 eV for the cell shown

---

This record from the Alexandria database describes a relaxed Cr2CoI crystal. The functional is PBE-GGA.

```
Cr2CoI
1.0
5.5647 0.0000 0.0000
0.0000 5.5647 0.0000
2.7823 2.7823 6.0166
I Cr Co
2 4 2
Direct
0.0000 0.0000 0.0000 I
0.7500 0.2500 0.5000 I
0.2085 0.6250 0.2500 Cr
0.8750 0.7915 0.7500 Cr
0.3750 0.4585 0.7500 Cr
0.5415 0.1250 0.2500 Cr
0.5000 0.5000 0.0000 Co
0.2500 0.7500 0.5000 Co
```

E ... -46.946 eV for the cell shown

---

This record from the Alexandria database describes a relaxed RbPt crystal. The functional is PBE-GGA.

```
RbPt
1.0
-5.5927 0.4770 -2.4505
5.2903 -6.9569 -13.4281
-2.2476 -8.4393 3.4868
Rb Pt
16 16
Direct
0.0000 0.5000 0.8325 Rb
0.5000 0.0000 0.1675 Rb
0.0000 0.0000 0.6675 Rb
0.0000 0.5000 0.1675 Rb
0.7500 0.7500 0.0825 Rb
0.5000 0.5000 0.3325 Rb
0.7500 0.2500 0.9175 Rb
0.5000 0.5000 0.6675 Rb
0.2500 0.2500 0.0825 Rb
0.2500 0.2500 0.4175 Rb
0.5000 0.0000 0.8325 Rb
0.2500 0.7500 0.9175 Rb
0.7500 0.7500 0.4175 Rb
0.0000 0.0000 0.3325 Rb
0.7500 0.2500 0.5825 Rb
0.2500 0.7500 0.5825 Rb
0.5000 0.9194 0.5000 Pt
0.0000 0.5806 0.5000 Pt
0.7500 0.1694 0.2500 Pt
0.2500 0.1694 0.7500 Pt
0.0000 0.0806 0.0000 Pt
0.7500 0.3306 0.2500 Pt
0.5000 0.4194 0.0000 Pt
0.2500 0.8306 0.2500 Pt
0.7500 0.6694 0.7500 Pt
0.2500 0.3306 0.7500 Pt
0.5000 0.0806 0.5000 Pt
0.0000 0.4194 0.5000 Pt
0.2500 0.6694 0.2500 Pt
0.5000 0.5806 0.0000 Pt
0.0000 0.9194 0.0000 Pt
0.7500 0.8306 0.7500 Pt
```

Calculated formation energy ... 0.26 eV per atom
E ... -103.859 eV for the cell shown

---

This record from the Alexandria database describes a relaxed TlInIr crystal. The functional is PBE-GGA.

```
TlInIr
1.0
6.7973 -0.0105 0.0111
6.0575 3.0844 0.0192
0.7398 0.1701 3.0903
In Ir Tl
1 1 1
Direct
0.0300 0.0300 0.9700 In
0.6569 0.6569 0.3431 Ir
0.3131 0.3131 0.6869 Tl
```

Calculated formation energy ... 0.26 eV per atom
E ... -13.190 eV for the cell shown

---

This record from the Alexandria database describes a relaxed Ba2Ag2Sb crystal. The functional is PBE-GGA.

```
Ba2Ag2Sb
1.0
-6.9319 -1.1466 4.2631
0.1768 -8.0020 -1.8647
2.5881 -0.8690 3.9747
Sb Ba Ag
2 4 4
Direct
0.0000 0.0000 0.0000 Sb
0.5000 0.5000 0.0000 Sb
0.6873 0.8127 0.5000 Ba
0.3127 0.1873 0.5000 Ba
0.8127 0.3127 0.5000 Ba
0.1873 0.6873 0.5000 Ba
0.3818 0.8818 0.0000 Ag
0.1182 0.3818 0.0000 Ag
0.8818 0.6182 0.0000 Ag
0.6182 0.1182 0.0000 Ag
```

E ... -31.968 eV for the cell shown

---

This record from the Alexandria database describes a relaxed InCo2As crystal. The functional is PBE-GGA.

```
InCo2As
1.0
3.7616 -0.0137 0.0342
2.6607 2.6591 0.0342
2.1547 0.8875 6.4565
In Co As
1 2 1
Direct
0.7500 0.7500 0.7500 In
0.0214 0.0214 0.0756 Co
0.4786 0.4786 0.4244 Co
0.2500 0.2500 0.2500 As
```

Calculated formation energy ... 0.09 eV per atom
E ... -21.248 eV for the cell shown

---

This record from the Alexandria database describes a relaxed Pm4Tl3Cd crystal. The functional is PBE-GGA.

```
Pm4Tl3Cd
1.0
-3.9783 2.9349 -2.2975
-3.6094 -3.8822 1.2729
2.4349 3.9789 7.3457
Pm Tl Cd
4 3 1
Direct
0.8762 0.8763 0.7527 Pm
0.3763 0.3762 0.7527 Pm
0.6237 0.6238 0.2473 Pm
0.1238 0.1237 0.2473 Pm
0.0000 0.5000 0.0000 Tl
0.2525 0.7525 0.5049 Tl
0.7475 0.2475 0.4951 Tl
0.5000 0.0000 0.0000 Cd
```

Calculated formation energy ... -0.37 eV per atom
E ... -29.993 eV for the cell shown

---

This record from the Alexandria database describes a relaxed NdAs2Rh crystal. The functional is PBE-GGA.

```
NdAs2Rh
1.0
4.1323 -0.0019 0.0003
-0.0041 4.1321 -0.0019
-2.0650 -2.0644 5.0970
Rh Nd As
1 1 2
Direct
0.4716 0.6307 0.7282 Rh
0.2213 0.8812 0.2282 Nd
0.8482 0.5086 0.4820 As
0.5941 0.2542 0.9744 As
```

Calculated formation energy ... -0.90 eV per atom
E ... -25.009 eV for the cell shown

---

This record from the Alexandria database describes a relaxed CeTh3Sn12 crystal. The functional is PBE-GGA.

```
CeTh3Sn12
1.0
4.7756 0.0000 0.0000
0.0000 4.7756 0.0000
0.0000 0.0000 18.7655
Sn Th Ce
12 3 1
Direct
0.5000 0.0000 0.1232 Sn
0.0000 0.5000 0.6255 Sn
0.5000 0.5000 0.5000 Sn
0.5000 0.0000 0.8768 Sn
0.5000 0.5000 0.0000 Sn
0.5000 0.0000 0.3745 Sn
0.0000 0.5000 0.3745 Sn
0.5000 0.5000 0.7515 Sn
0.5000 0.5000 0.2485 Sn
0.5000 0.0000 0.6255 Sn
0.0000 0.5000 0.8768 Sn
0.0000 0.5000 0.1232 Sn
0.0000 0.0000 0.7511 Th
0.0000 0.0000 0.2489 Th
0.0000 0.0000 0.5000 Th
0.0000 0.0000 0.0000 Ce
```

Calculated formation energy ... -0.48 eV per atom
E ... -83.836 eV for the cell shown

---

This record from the Alexandria database describes a relaxed Ac2LaCe crystal. The functional is PBE-GGA.

```
Ac2LaCe
1.0
3.7422 0.0000 0.0000
1.8711 3.2408 0.0000
1.8711 1.0803 13.2524
La Ce Ac
1 1 2
Direct
0.5000 0.5000 0.5000 La
0.0000 0.0000 0.0000 Ce
0.0875 0.0875 0.7376 Ac
0.9125 0.9125 0.2624 Ac
```

Calculated formation energy ... 0.27 eV per atom
E ... -18.006 eV for the cell shown

---

This record from the Alexandria database describes a relaxed Na2HgBi crystal. The functional is PBE-GGA.

```
Na2HgBi
1.0
-0.1355 -0.7880 3.4141
3.1514 -4.5029 -0.9143
9.6612 6.7338 0.1370
Hg Na Bi
2 4 2
Direct
0.1684 0.2500 0.3367 Hg
0.8316 0.7500 0.6633 Hg
0.9638 0.7500 0.9276 Na
0.7843 0.2500 0.5686 Na
0.0362 0.2500 0.0724 Na
0.2157 0.7500 0.4314 Na
0.4075 0.2500 0.8150 Bi
0.5925 0.7500 0.1850 Bi
```

Calculated formation energy ... -0.21 eV per atom
E ... -15.353 eV for the cell shown